## P
This record from the Alexandria database describes crystalline FeNi5Pt at its relaxed geometry. The functional is GGA-PBE.

Cell and atoms, written as POSCAR:
```
FeNi5Pt
1.0
-1.807 6.418 -5.069
-3.563 -2.279 -1.615
1.330 -1.133 5.010
Fe Ni Pt
1 5 1
direct
0.979 0.000 0.000 Fe
0.118 0.758 0.515 Ni
0.405 0.500 0.000 Ni
0.603 0.242 0.485 Ni
0.650 0.246 0.000 Ni
0.650 0.754 0.000 Ni
0.125 0.500 0.000 Pt
```

symmetry: Imm2 (44)
density of states at the Fermi level: 9.70 states/eV/cell
theoretical density: 10.2 g/cm3
magnetization: 6.62 μB/cell


## Q
This record from the Alexandria database describes crystalline FeNi5Pt at its relaxed geometry. The functional is GGA-PBE.

Cell and atoms, written as POSCAR:
```
FeNi5Pt
1.0
5.888 0.265 -1.677
-3.492 4.772 -1.610
0.231 -0.279 6.118
Fe Ni Pt
2 10 2
direct
0.000 0.000 0.000 Fe
0.000 0.500 0.500 Fe
0.232 0.760 0.972 Ni
0.500 0.750 0.750 Ni
0.212 0.240 0.472 Ni
0.709 0.959 0.250 Ni
0.000 0.250 0.750 Ni
0.000 0.750 0.250 Ni
0.291 0.041 0.750 Ni
0.788 0.760 0.528 Ni
0.500 0.250 0.250 Ni
0.768 0.240 0.028 Ni
0.299 0.549 0.250 Pt
0.701 0.451 0.750 Pt
```

symmetry: Imma (74)
density of states at the Fermi level: 12.23 states/eV/cell
theoretical density: 10.3 g/cm3
magnetization: 12.49 μB/cell


Top of the stability list: Q, leading by 148 meV per atom.


## P
This record from the Alexandria database describes crystalline FeNi4Pt3 at its relaxed geometry. The functional is GGA-PBE.

Cell and atoms, written as POSCAR:
```
FeNi4Pt3
1.0
0.818 -3.330 -1.301
2.898 -0.244 2.447
-6.399 -1.309 4.497
Ni Fe Pt
4 1 3
direct
0.752 0.253 0.505 Ni
0.248 0.747 0.495 Ni
0.372 0.372 0.743 Ni
0.628 0.628 0.257 Ni
0.500 0.000 0.000 Fe
0.000 0.500 0.000 Pt
0.870 0.870 0.739 Pt
0.130 0.130 0.261 Pt
```

symmetry: Immm (71)
density of states at the Fermi level: 8.68 states/eV/cell
theoretical density: 14.0 g/cm3
magnetization: 7.21 μB/cell


## Q
This record from the Alexandria database describes crystalline FeNi4Pt3 at its relaxed geometry. The functional is GGA-PBE.

Cell and atoms, written as POSCAR:
```
FeNi4Pt3
1.0
2.680 0.000 0.000
0.000 4.613 -0.516
-1.340 -2.880 8.823
Fe Ni Pt
1 4 3
direct
0.500 0.000 0.000 Fe
0.622 0.879 0.244 Ni
0.378 0.121 0.756 Ni
0.880 0.643 0.759 Ni
0.120 0.357 0.241 Ni
0.000 0.500 0.000 Pt
0.250 0.250 0.500 Pt
0.750 0.750 0.500 Pt
```

symmetry: C2/m (12)
density of states at the Fermi level: 9.02 states/eV/cell
theoretical density: 13.8 g/cm3
magnetization: 6.47 μB/cell


Top of the stability list: P, leading by 51 meV per atom.